one:
# HgWCl2

An optimized crystal structure of HgWCl2 (GGA-PBE, Alexandria via LeMat-Bulk). Values from VASP.

```
&SYSTEM
  ibrav = 0, nat = 4, ntyp = 3
/
ATOMIC_SPECIES
Hg 200.59 Hg.upf
W 183.84 W.upf
Cl 35.45 Cl.upf
CELL_PARAMETERS angstrom
-1.476 2.618 6.665
1.476 -2.618 6.665
1.476 2.618 -6.665
ATOMIC_POSITIONS crystal
Hg 0.000 0.000 0.000
W 0.500 0.500 0.000
Cl 0.350 0.850 0.500
Cl 0.650 0.150 0.500
```

---

two:
# HgWCl2

An optimized crystal structure of HgWCl2 (GGA-PBE, Alexandria via LeMat-Bulk). Values from VASP.

```
&SYSTEM
  ibrav = 0, nat = 4, ntyp = 3
/
ATOMIC_SPECIES
Hg 200.59 Hg.upf
W 183.84 W.upf
Cl 35.45 Cl.upf
CELL_PARAMETERS angstrom
-2.211 2.211 4.164
2.211 -2.211 4.164
2.211 2.211 -4.164
ATOMIC_POSITIONS crystal
Hg 0.000 0.000 0.000
W 0.500 0.500 0.000
Cl 0.250 0.750 0.500
Cl 0.750 0.250 0.500
```

---

three:
# HgWCl2

An optimized crystal structure of HgWCl2 (GGA-PBE, Alexandria via LeMat-Bulk). Values from VASP.

```
&SYSTEM
  ibrav = 0, nat = 4, ntyp = 3
/
ATOMIC_SPECIES
Hg 200.59 Hg.upf
W 183.84 W.upf
Cl 35.45 Cl.upf
CELL_PARAMETERS angstrom
1.623 0.937 8.862
-1.623 0.937 8.862
0.000 -1.874 8.862
ATOMIC_POSITIONS crystal
Hg 0.000 0.000 0.000
W 0.248 0.248 0.248
Cl 0.523 0.523 0.523
Cl 0.741 0.741 0.741
```

---

one (13.8 kJ/mol of atoms below the next structure)

---

one:
# HgWCl2

An optimized crystal structure of HgWCl2 (GGA-PBE, Alexandria via LeMat-Bulk). Values from VASP.

```
&SYSTEM
  ibrav = 0, nat = 4, ntyp = 3
/
ATOMIC_SPECIES
Hg 200.59 Hg.upf
W 183.84 W.upf
Cl 35.45 Cl.upf
CELL_PARAMETERS angstrom
0.000 3.521 3.521
3.521 0.000 3.521
3.521 3.521 0.000
ATOMIC_POSITIONS crystal
Hg 0.000 0.000 0.000
W 0.500 0.500 0.500
Cl 0.250 0.250 0.250
Cl 0.750 0.750 0.750
```

---

two:
# HgWCl2

An optimized crystal structure of HgWCl2 (GGA-PBE, Alexandria via LeMat-Bulk). Values from VASP.

```
&SYSTEM
  ibrav = 0, nat = 4, ntyp = 3
/
ATOMIC_SPECIES
Hg 200.59 Hg.upf
W 183.84 W.upf
Cl 35.45 Cl.upf
CELL_PARAMETERS angstrom
5.428 -1.507 0.000
5.428 1.507 0.000
-2.871 0.000 6.547
ATOMIC_POSITIONS crystal
Hg 0.000 0.000 0.000
W 0.737 0.737 0.000
Cl 0.179 0.179 0.704
Cl 0.335 0.335 0.296
```

---

three:
# HgWCl2

An optimized crystal structure of HgWCl2 (GGA-PBE, Alexandria via LeMat-Bulk). Values from VASP.

```
&SYSTEM
  ibrav = 0, nat = 4, ntyp = 3
/
ATOMIC_SPECIES
Hg 200.59 Hg.upf
W 183.84 W.upf
Cl 35.45 Cl.upf
CELL_PARAMETERS angstrom
3.091 0.000 0.000
0.000 3.091 0.000
0.000 0.000 8.281
ATOMIC_POSITIONS crystal
Hg 0.000 0.000 0.000
W 0.500 0.500 0.248
Cl 0.000 0.000 0.417
Cl 0.500 0.500 0.771
```

---

four:
# HgWCl2

An optimized crystal structure of HgWCl2 (GGA-PBE, Alexandria via LeMat-Bulk). Values from VASP.

```
&SYSTEM
  ibrav = 0, nat = 4, ntyp = 3
/
ATOMIC_SPECIES
Hg 200.59 Hg.upf
W 183.84 W.upf
Cl 35.45 Cl.upf
CELL_PARAMETERS angstrom
1.482 -2.948 0.000
1.482 2.948 0.000
0.000 0.000 10.988
ATOMIC_POSITIONS crystal
Hg 0.000 0.000 0.000
W 0.000 0.000 0.500
Cl 0.500 0.500 0.323
Cl 0.500 0.500 0.677
```

---

two (3.8 kJ/mol of atoms below the next structure)

---

one:
# HgWCl2

An optimized crystal structure of HgWCl2 (GGA-PBE, Alexandria via LeMat-Bulk). Values from VASP.

```
&SYSTEM
  ibrav = 0, nat = 4, ntyp = 3
/
ATOMIC_SPECIES
Hg 200.59 Hg.upf
W 183.84 W.upf
Cl 35.45 Cl.upf
CELL_PARAMETERS angstrom
3.006 -4.290 0.000
3.006 4.290 0.000
0.000 0.000 3.075
ATOMIC_POSITIONS crystal
Hg 0.000 0.000 0.000
W 0.500 0.500 0.000
Cl 0.000 0.500 0.500
Cl 0.500 0.000 0.500
```

---

two:
# HgWCl2

An optimized crystal structure of HgWCl2 (GGA-PBE, Alexandria via LeMat-Bulk). Values from VASP.

```
&SYSTEM
  ibrav = 0, nat = 4, ntyp = 3
/
ATOMIC_SPECIES
Hg 200.59 Hg.upf
W 183.84 W.upf
Cl 35.45 Cl.upf
CELL_PARAMETERS angstrom
-1.489 2.260 7.225
1.489 -2.260 7.225
1.489 2.260 -7.225
ATOMIC_POSITIONS crystal
Hg 0.000 0.000 0.000
W 0.177 0.677 0.500
Cl 0.308 0.308 0.000
Cl 0.658 0.158 0.500
```

---

three:
# HgWCl2

An optimized crystal structure of HgWCl2 (GGA-PBE, Alexandria via LeMat-Bulk). Values from VASP.

```
&SYSTEM
  ibrav = 0, nat = 4, ntyp = 3
/
ATOMIC_SPECIES
Hg 200.59 Hg.upf
W 183.84 W.upf
Cl 35.45 Cl.upf
CELL_PARAMETERS angstrom
3.004 0.000 0.000
0.000 4.009 0.000
-0.948 0.000 7.108
ATOMIC_POSITIONS crystal
Hg 0.000 0.000 0.000
W 0.055 0.500 0.331
Cl 0.186 0.500 0.663
Cl 0.625 0.000 0.404
```

---

four:
# HgWCl2

An optimized crystal structure of HgWCl2 (GGA-PBE, Alexandria via LeMat-Bulk). Values from VASP.

```
&SYSTEM
  ibrav = 0, nat = 4, ntyp = 3
/
ATOMIC_SPECIES
Hg 200.59 Hg.upf
W 183.84 W.upf
Cl 35.45 Cl.upf
CELL_PARAMETERS angstrom
2.990 0.000 0.000
0.000 3.023 0.000
-0.259 0.000 10.638
ATOMIC_POSITIONS crystal
Hg 0.000 0.000 0.000
W 0.500 0.000 0.500
Cl 0.484 0.500 0.323
Cl 0.516 0.500 0.677
```

---

four (38.4 kJ/mol of atoms below the next structure)